Compound: TaTl2Fe
Source: Alexandria via LeMat-Bulk
Functional: PBE
Structure: relaxed

Structure (POSCAR):
```
TaTl2Fe
1.0
3.099 -0.028 0.000
-1.485 2.720 0.000
0.000 0.000 9.636
Tl Fe Ta
2 1 1
Direct
0.000 0.000 0.486
0.000 0.000 0.014
0.500 0.500 0.250
0.500 0.500 0.750
```

Calculated values
The calculation puts the total energy at -22.33 eV/cell. Its space group is Cmmm. For the total magnetization, the calculation gives 2.69 μB per cell.